No. 1
The following is a PBE calculation of a relaxed structure of Nd6Te5N, from Alexandria via LeMat-Bulk.

```
Nd6Te5N
1.0
3.8342 -6.5773 0.0000
3.8342 6.5773 0.0000
-2.4574 0.0000 7.0619
Nd Te N
6 5 1
direct
0.0682 0.3470 0.7098
0.2055 0.2055 0.2687
0.3470 0.0682 0.7098
0.6530 0.9318 0.2902
0.7945 0.7945 0.7313
0.9318 0.6530 0.2902
0.1822 0.8178 0.0000
0.3363 0.6637 0.5000
0.5000 0.5000 0.0000
0.6637 0.3363 0.5000
0.8178 0.1822 0.0000
0.0000 0.0000 0.5000
```

## Properties
Its symmetry is C2/m, No. 12. The value obtained for the uncorrected formation energy is -1.37 eV per atom.

No. 2
The following is a PBE calculation of a relaxed structure of PPtCl2, from Alexandria via LeMat-Bulk.

```
PPtCl2
1.0
3.3048 0.0000 0.0000
0.0000 7.6256 0.0000
0.0000 0.0000 8.8094
P Pt Cl
2 2 4
direct
0.0000 0.0000 0.0000
0.5000 0.5000 0.5000
0.0000 0.5000 0.6654
0.5000 0.0000 0.1654
0.0000 0.0000 0.3747
0.0000 0.5000 0.2659
0.5000 0.0000 0.7659
0.5000 0.5000 0.8747
```

## Properties
Its symmetry is Imm2, No. 44. The value obtained for the relative energy among the computed polymorphs is 537 meV per atom. The value obtained for the uncorrected formation energy is -0.04 eV per atom.

No. 3
The following is a PBE calculation of a relaxed structure of Sr2BeP, from Alexandria via LeMat-Bulk.

```
Sr2BeP
1.0
5.0559 0.0000 0.0000
0.0000 5.0559 0.0000
0.0000 0.0000 4.0158
Sr Be P
2 1 1
direct
0.0000 0.5000 0.0000
0.5000 0.0000 0.0000
0.0000 0.0000 0.5000
0.5000 0.5000 0.5000
```

## Properties
Its symmetry is P4/mmm, No. 123. The value obtained for the relative energy among the computed polymorphs is 270 meV per atom. For the formation energy from the elements, the calculation gives -0.17 eV/atom.

No. 4
The following is a PBE calculation of a relaxed structure of TaCo2Hg, from Alexandria via LeMat-Bulk.

```
TaCo2Hg
1.0
3.1086 0.0000 0.0000
0.0000 3.1086 0.0000
0.0000 0.0000 6.1762
Ta Co Hg
1 2 1
direct
0.0000 0.0000 0.0000
0.5000 0.5000 0.2162
0.5000 0.5000 0.7838
0.0000 0.0000 0.5000
```

## Properties
Its symmetry is P4/mmm, No. 123. For the formation energy from the elements, the calculation gives 0.03 eV/atom.

No. 5
The following is a PBE calculation of a relaxed structure of Sr2NCl, from Alexandria via LeMat-Bulk.

```
Sr2NCl
1.0
6.9116 0.0000 0.0000
0.0000 6.9116 0.0000
0.0000 0.0000 6.9116
Sr N Cl
8 4 4
direct
0.2500 0.2500 0.2500
0.2500 0.2500 0.7500
0.2500 0.7500 0.2500
0.2500 0.7500 0.7500
0.7500 0.2500 0.2500
0.7500 0.2500 0.7500
0.7500 0.7500 0.2500
0.7500 0.7500 0.7500
0.0000 0.0000 0.0000
0.0000 0.5000 0.5000
0.5000 0.0000 0.5000
0.5000 0.5000 0.0000
0.0000 0.0000 0.5000
0.0000 0.5000 0.0000
0.5000 0.0000 0.0000
0.5000 0.5000 0.5000
```

## Properties
Its symmetry is Fm-3m, No. 225. The value obtained for the uncorrected formation energy is -0.88 eV per atom.

No. 6
The following is a PBE calculation of a relaxed structure of BeSi2Cl, from Alexandria via LeMat-Bulk.

```
BeSi2Cl
1.0
2.8646 0.0000 0.0000
0.0000 4.5213 0.0000
0.0000 0.0000 4.6209
Be Si Cl
1 2 1
direct
0.0000 0.0000 0.0000
0.0000 0.5000 0.5000
0.5000 0.0000 0.5000
0.5000 0.5000 0.0000
```

## Properties
Its symmetry is Pmmm, No. 47. The value obtained for the relative energy among the computed polymorphs is 393 meV per atom. The value obtained for the uncorrected formation energy is 0.57 eV per atom.

Calculated spin magnetization (μB per atom), listed in the same order as above: 0.00, 0.00, 0.00, 0.11, 0.00, 0.00